Entry 1:
Ho2Se3O9: PBEsol geometry, meta-GGA SCAN.

Cell: 6.9662 7.9477 8.8233 Å, 71.80 70.56 66.46°
Sites, in units of the cell vectors:
Ho 0.6680 0.2716 0.4118
Se 0.8523 0.2467 0.0350
O 0.0688 0.6886 0.8316
O 0.5170 0.5921 0.3498
Ho 0.7443 0.7357 0.7935
O 0.3496 0.2452 0.4409
O 0.5895 0.2882 0.1515
O 0.3560 0.9435 0.3085
O 0.1692 0.5682 0.1250
O 0.4105 0.7118 0.8485
O 0.1497 0.0112 0.6619
O 0.4830 0.4079 0.6502
Se 0.5719 0.2237 0.8065
Ho 0.2557 0.2643 0.2065
O 0.8308 0.4318 0.8750
O 0.9312 0.3114 0.1684
Se 0.1477 0.7533 0.9650
Se 0.8839 0.7585 0.4066
Ho 0.3320 0.7284 0.5882
O 0.6440 0.0565 0.6915
O 0.8503 0.9888 0.3381
O 0.9653 0.3008 0.4496
O 0.6552 0.7960 0.0491
O 0.6504 0.7548 0.5591
O 0.0347 0.6992 0.5504
Se 0.4281 0.7763 0.1935
O 0.3448 0.2040 0.9509
Se 0.1161 0.2415 0.5934

* VASP energy: -487.2 eV/cell
* total magnetization: 0.00 μB/f.u.
* uncorrected formation energy: -2095 meV per atom
* ΔE to the lowest computed polymorph: 0 meV/atom
* SG: P-1

---

Entry 2:
Ho2Se3O9: PBEsol geometry, meta-GGA SCAN.

Cell: 8.0944 8.5012 8.5012 Å, 120.00 90.00 90.00°
Sites, in units of the cell vectors:
O 0.9147 0.1549 0.4152
Ho 0.0398 0.3333 0.6667
O 0.5853 0.2603 0.8451
Se 0.2500 0.7331 0.0284
O 0.0853 0.4152 0.2603
Se 0.7500 0.0284 0.2953
Se 0.2500 0.2953 0.2669
O 0.4147 0.8451 0.5848
Se 0.7500 0.7047 0.7331
O 0.0853 0.8451 0.5848
Ho 0.5398 0.6667 0.3333
O 0.2500 0.1393 0.6442
O 0.7500 0.6442 0.5050
Ho 0.4602 0.3333 0.6667
O 0.0853 0.7397 0.1549
O 0.7500 0.8607 0.3558
O 0.9147 0.2603 0.8451
O 0.9147 0.5848 0.7397
O 0.2500 0.3558 0.4950
O 0.7500 0.4950 0.1393
O 0.4147 0.4152 0.2603
O 0.5853 0.1549 0.4152
O 0.4147 0.7397 0.1549
O 0.5853 0.5848 0.7397
O 0.2500 0.5050 0.8607
Ho 0.9602 0.6667 0.3333
Se 0.7500 0.2669 0.9716
Se 0.2500 0.9716 0.7047

* VASP energy: -485.8 eV/cell
* total magnetization: 0.00 μB/f.u.
* uncorrected formation energy: -2045 meV per atom
* ΔE to the lowest computed polymorph: 50 meV/atom
* SG: P6_3/m

---

Entry 3:
Ho2Se3O9: PBEsol geometry, meta-GGA SCAN.

Cell: 6.6537 8.1241 13.6918 Å, 90.00 90.00 90.00°
Sites, in units of the cell vectors:
O 0.7522 0.5416 0.3507
O 0.0310 0.2805 0.4008
O 0.7478 0.0416 0.3507
O 0.0853 0.6168 0.4344
Ho 0.1850 0.2086 0.9390
O 0.5310 0.2195 0.9008
Se 0.3238 0.9507 0.1272
Se 0.1762 0.4507 0.1272
Ho 0.8150 0.7914 0.4390
O 0.4690 0.7805 0.4008
O 0.5693 0.3218 0.2500
O 0.8637 0.0802 0.9583
O 0.7478 0.0416 0.1493
O 0.1363 0.9198 0.4583
O 0.5310 0.2195 0.5992
O 0.9307 0.8218 0.2500
O 0.9147 0.3832 0.5656
O 0.3637 0.4198 0.0417
O 0.2522 0.9584 0.8507
Se 0.6762 0.0493 0.8728
O 0.6363 0.5802 0.5417
Se 0.8238 0.5493 0.6272
Se 0.3238 0.9507 0.3728
Se 0.6762 0.0493 0.6272
O 0.2478 0.4584 0.8507
O 0.4147 0.1168 0.0656
O 0.7522 0.5416 0.1493
Ho 0.1850 0.2086 0.5610
Ho 0.8150 0.7914 0.0610
O 0.0310 0.2805 0.0992
O 0.2478 0.4584 0.6493
Ho 0.3150 0.7086 0.9390
Se 0.5956 0.5317 0.2500
O 0.8637 0.0802 0.5417
Ho 0.3150 0.7086 0.5610
Ho 0.6850 0.2914 0.0610
O 0.0693 0.1782 0.7500
Ho 0.6850 0.2914 0.4390
O 0.5853 0.8832 0.5656
O 0.4307 0.6782 0.7500
O 0.1363 0.9198 0.0417
O 0.9147 0.3832 0.9344
O 0.2522 0.9584 0.6493
Se 0.0956 0.9683 0.7500
Se 0.4044 0.4683 0.7500
O 0.4147 0.1168 0.4344
O 0.0853 0.6168 0.0656
Se 0.8238 0.5493 0.8728
O 0.4690 0.7805 0.0992
O 0.9690 0.7195 0.9008
O 0.9690 0.7195 0.5992
O 0.3637 0.4198 0.4583
O 0.5853 0.8832 0.9344
Se 0.9044 0.0317 0.2500
Se 0.1762 0.4507 0.3728
O 0.6363 0.5802 0.9583

* VASP energy: -971.4 eV/cell
* total magnetization: 0.00 μB/f.u.
* uncorrected formation energy: -2040 meV per atom
* ΔE to the lowest computed polymorph: 55 meV/atom
* SG: Pnma

---

Entry 4:
Ho2Se3O12: PBEsol geometry, meta-GGA SCAN.

Cell: 9.5289 9.5289 9.8876 Å, 61.19 61.19 60.00°
Sites, in units of the cell vectors:
O 0.6352 0.7693 0.5882
O 0.2307 0.9927 0.4118
O 0.1352 0.5073 0.0882
O 0.2049 0.4363 0.7790
Se 0.2500 0.9655 0.2500
O 0.2951 0.9203 0.7210
Ho 0.3560 0.3560 0.9320
Se 0.7500 0.0345 0.7500
O 0.9363 0.7049 0.2790
O 0.4927 0.7307 0.9118
O 0.0797 0.9363 0.2790
Ho 0.1440 0.1440 0.5680
O 0.8648 0.4927 0.9118
Se 0.5345 0.2500 0.2500
O 0.0637 0.2951 0.7210
O 0.7951 0.5637 0.2210
O 0.5797 0.2049 0.7790
O 0.4363 0.5797 0.7790
O 0.2693 0.1352 0.0882
Ho 0.8560 0.8560 0.4320
Ho 0.6440 0.6440 0.0680
O 0.3648 0.2307 0.4118
O 0.9927 0.3648 0.4118
O 0.7307 0.8648 0.9118
O 0.7693 0.0073 0.5882
Se 0.4655 0.7500 0.7500
O 0.7049 0.0797 0.2790
O 0.5073 0.2693 0.0882
Se 0.0345 0.4655 0.7500
O 0.9203 0.0637 0.7210
O 0.4203 0.7951 0.2210
O 0.5637 0.4203 0.2210
Se 0.9655 0.5345 0.2500
O 0.0073 0.6352 0.5882

* VASP energy: -525.4 eV/cell
* total magnetization: 0.00 μB/f.u.
* uncorrected formation energy: -1747 meV per atom
* ΔE to the lowest computed polymorph: 0 meV/atom
* SG: R-3c

---

Entry 5:
SrHo2O4: PBEsol geometry, meta-GGA SCAN.

Cell: 3.3749 9.9515 11.7852 Å, 90.00 90.00 90.00°
Sites, in units of the cell vectors:
Ho 0.7500 0.4236 0.8894
O 0.2500 0.8740 0.4806
Ho 0.7500 0.9216 0.1115
O 0.2500 0.0734 0.0779
O 0.2500 0.9854 0.7168
O 0.7500 0.2119 0.8254
O 0.2500 0.7881 0.1746
Sr 0.2500 0.7481 0.8500
Ho 0.2500 0.0764 0.3894
Ho 0.2500 0.0784 0.8885
O 0.7500 0.5146 0.2168
Ho 0.2500 0.5784 0.6115
O 0.2500 0.5734 0.4221
O 0.7500 0.0146 0.2832
O 0.2500 0.2881 0.3254
Sr 0.7500 0.7519 0.3500
O 0.7500 0.1260 0.5194
Ho 0.7500 0.9236 0.6106
O 0.7500 0.9266 0.9221
O 0.7500 0.4266 0.5779
O 0.2500 0.4854 0.7832
Sr 0.2500 0.2481 0.6500
O 0.2500 0.3740 0.0194
Ho 0.7500 0.4216 0.3885
O 0.7500 0.6260 0.9806
Ho 0.2500 0.5764 0.1106
O 0.7500 0.7119 0.6746
Sr 0.7500 0.2519 0.1500

* VASP energy: -684.3 eV/cell
* total magnetization: 0.00 μB/f.u.
* uncorrected formation energy: -3698 meV per atom
* SG: Pnma

---

Entry 6:
Sr2HoTaO6: PBEsol geometry, meta-GGA SCAN.

Cell: 5.7689 5.8550 8.1977 Å, 90.00 89.81 90.00°
Sites, in units of the cell vectors:
O 0.8040 0.7247 0.0453
O 0.2750 0.8015 0.9585
O 0.5815 0.4758 0.7359
Ta 0.0000 0.0000 0.0000
O 0.4185 0.5242 0.2641
O 0.9185 0.9758 0.7641
Ho 0.5000 0.5000 0.0000
Sr 0.0091 0.5378 0.7495
O 0.7250 0.1985 0.0415
Sr 0.5091 0.9622 0.2495
Sr 0.4909 0.0378 0.7505
Ta 0.5000 0.5000 0.5000
O 0.3040 0.7753 0.5453
Sr 0.9909 0.4622 0.2505
O 0.2250 0.3015 0.5415
Ho 0.0000 0.0000 0.5000
O 0.6960 0.2247 0.4547
O 0.1960 0.2753 0.9547
O 0.7750 0.6985 0.4585
O 0.0815 0.0242 0.2359

* VASP energy: -464.8 eV/cell
* total magnetization: 0.00 μB/f.u.
* uncorrected formation energy: -3489 meV per atom
* SG: P2_1/c

---

Entry 7:
HoTa7O19: PBEsol geometry, meta-GGA SCAN.

Cell: 6.1954 6.1954 19.8969 Å, 90.00 90.00 120.00°
Sites, in units of the cell vectors:
Ta 0.6658 0.9706 0.8446
Ho 0.3333 0.6667 0.5000
Ta 0.3048 0.3342 0.8446
O 0.0000 0.0000 0.1672
Ta 0.0000 0.0000 0.5000
Ta 0.3048 0.3342 0.6554
O 0.3333 0.6667 0.3704
O 0.0911 0.3799 0.2500
O 0.6671 0.5816 0.6530
Ta 0.6658 0.6952 0.1554
Ta 0.0000 0.0000 0.0000
O 0.6201 0.9089 0.7500
O 0.0911 0.7112 0.7500
Ta 0.6658 0.9706 0.6554
Ta 0.0294 0.6952 0.8446
O 0.6671 0.5816 0.8470
O 0.2368 0.2906 0.9444
O 0.9144 0.5816 0.3470
O 0.0000 0.0000 0.6672
O 0.6201 0.7112 0.2500
O 0.4184 0.3329 0.1530
O 0.0539 0.7632 0.9444
O 0.6671 0.0856 0.3470
O 0.9144 0.3329 0.6530
O 0.4184 0.3329 0.3470
Ta 0.0294 0.3342 0.1554
O 0.0539 0.2906 0.4444
O 0.2368 0.2906 0.5556
O 0.2888 0.9089 0.2500
O 0.6671 0.0856 0.1530
Ta 0.3048 0.9706 0.1554
O 0.2888 0.3799 0.7500
Ta 0.0294 0.3342 0.3446
O 0.0000 0.0000 0.8328
O 0.9144 0.3329 0.8470
O 0.7094 0.7632 0.0556
O 0.0539 0.7632 0.5556
Ta 0.3048 0.9706 0.3446
O 0.0539 0.2906 0.0556
Ta 0.0294 0.6952 0.6554
O 0.2368 0.9461 0.0556
O 0.4184 0.0856 0.6530
O 0.2368 0.9461 0.4444
O 0.7094 0.9461 0.5556
O 0.7094 0.9461 0.9444
O 0.0000 0.0000 0.3328
O 0.7094 0.7632 0.4444
O 0.9144 0.5816 0.1530
Ta 0.6658 0.6952 0.3446
O 0.3333 0.6667 0.8704
O 0.3333 0.6667 0.6296
O 0.3333 0.6667 0.1296
O 0.4184 0.0856 0.8470
Ho 0.3333 0.6667 0.0000

* VASP energy: -1437.4 eV/cell
* total magnetization: 0.00 μB/f.u.
* uncorrected formation energy: -3156 meV per atom
* SG: P-6c2

---

Entry 8:
HoTa3O9: PBEsol geometry, meta-GGA SCAN.

Cell: 5.2171 7.4239 8.2081 Å, 90.00 92.50 90.00°
Sites, in units of the cell vectors:
Ta 0.4702 0.4924 0.6963
O 0.8564 0.0671 0.2173
O 0.6709 0.7500 0.3480
O 0.5791 0.7500 0.6868
O 0.6714 0.4425 0.8815
O 0.7437 0.4556 0.5333
Ta 0.5298 0.9924 0.3037
Ta 0.4702 0.0076 0.6963
Ta 0.5298 0.5076 0.3037
O 0.3286 0.5575 0.1185
Ho 0.0336 0.2500 0.4338
O 0.8970 0.7500 0.0232
O 0.1030 0.2500 0.9768
Ho 0.9664 0.7500 0.5662
O 0.7437 0.0444 0.5333
Ta 0.0000 0.5000 0.0000
O 0.2563 0.9556 0.4667
O 0.6714 0.0575 0.8815
O 0.1436 0.9329 0.7827
O 0.1436 0.5671 0.7827
O 0.8564 0.4329 0.2173
O 0.2563 0.5444 0.4667
O 0.3291 0.2500 0.6520
Ta 0.0000 0.0000 0.0000
O 0.4209 0.2500 0.3132
O 0.3286 0.9425 0.1185

* VASP energy: -695.0 eV/cell
* total magnetization: 0.00 μB/f.u.
* uncorrected formation energy: -3282 meV per atom
* ΔE to the lowest computed polymorph: 0 meV/atom
* SG: P2_1/m

---

Entry 9:
HoTa3O9: PBEsol geometry, meta-GGA SCAN.

Cell: 6.3712 7.5552 12.4072 Å, 90.00 90.00 90.00°
Sites, in units of the cell vectors:
O 0.9254 0.2500 0.0296
Ta 0.1954 0.0027 0.7111
O 0.4914 0.5502 0.3421
O 0.3020 0.2500 0.1892
O 0.8867 0.9579 0.6683
O 0.7987 0.4683 0.4654
O 0.2987 0.4683 0.0346
O 0.7987 0.0317 0.4654
Ho 0.9407 0.7500 0.5337
Ho 0.5593 0.2500 0.0337
O 0.3512 0.7500 0.1635
Ta 0.3046 0.5027 0.2111
O 0.8512 0.7500 0.3365
O 0.6980 0.7500 0.8108
O 0.6488 0.2500 0.8365
Ta 0.8046 0.9973 0.2889
O 0.7013 0.9683 0.9654
O 0.5086 0.4498 0.6579
O 0.1133 0.4579 0.3317
Ho 0.0593 0.2500 0.4663
Ta 0.1954 0.4973 0.7111
O 0.2013 0.5317 0.5346
O 0.3867 0.9579 0.8317
O 0.8867 0.5421 0.6683
Ta 0.5000 0.0000 0.5000
O 0.3867 0.5421 0.8317
O 0.1488 0.2500 0.6635
O 0.9914 0.9498 0.1579
Ta 0.3046 0.9973 0.2111
O 0.0746 0.7500 0.9704
O 0.5086 0.0502 0.6579
O 0.6133 0.4579 0.1683
O 0.0086 0.4498 0.8421
O 0.1980 0.7500 0.6892
O 0.4914 0.9498 0.3421
Ta 0.0000 0.0000 0.0000
Ta 0.6954 0.4973 0.7889
Ho 0.4407 0.7500 0.9663
Ta 0.5000 0.5000 0.5000
Ta 0.0000 0.5000 0.0000
O 0.2013 0.9683 0.5346
Ta 0.6954 0.0027 0.7889
O 0.6133 0.0421 0.1683
O 0.4254 0.2500 0.4704
O 0.5746 0.7500 0.5296
O 0.9914 0.5502 0.1579
O 0.7013 0.5317 0.9654
O 0.2987 0.0317 0.0346
O 0.0086 0.0502 0.8421
O 0.1133 0.0421 0.3317
Ta 0.8046 0.5027 0.2889
O 0.8020 0.2500 0.3108

* VASP energy: -1389.2 eV/cell
* total magnetization: 0.00 μB/f.u.
* uncorrected formation energy: -3268 meV per atom
* ΔE to the lowest computed polymorph: 14 meV/atom
* SG: Pnma

---

Entry 10:
HoTaTiO6: PBEsol geometry, meta-GGA SCAN.

Cell: 5.1580 5.5106 14.5895 Å, 90.00 90.00 90.35°
Sites, in units of the cell vectors:
O 0.5805 0.9148 0.9139
O 0.0375 0.4351 0.0915
Ta 0.1755 0.8217 0.6684
O 0.1477 0.1377 0.2586
Ta 0.8245 0.6783 0.1684
Ti 0.6792 0.6874 0.8361
O 0.9625 0.5649 0.9085
Ho 0.7468 0.7336 0.4999
O 0.5805 0.4148 0.5861
Ti 0.3208 0.8126 0.3361
O 0.1477 0.6377 0.2414
O 0.4195 0.0852 0.0861
Ti 0.6792 0.1874 0.6639
O 0.4634 0.9409 0.5908
Ho 0.7468 0.2336 0.0001
Ta 0.8245 0.1783 0.3316
Ti 0.3208 0.3126 0.1639
O 0.6508 0.8681 0.2612
O 0.6508 0.3681 0.2388
O 0.9625 0.0649 0.5915
O 0.3492 0.1319 0.7388
O 0.3492 0.6319 0.7612
O 0.8523 0.8623 0.7414
O 0.0375 0.9351 0.4085
O 0.4634 0.4409 0.9092
O 0.4195 0.5852 0.4139
O 0.9192 0.9144 0.0843
O 0.5366 0.0591 0.4092
Ho 0.2532 0.2664 0.5001
Ho 0.2532 0.7664 0.9999
Ta 0.1755 0.3217 0.8316
O 0.0808 0.0856 0.9157
O 0.5366 0.5591 0.0908
O 0.9192 0.4144 0.4157
O 0.8523 0.3623 0.7586
O 0.0808 0.5856 0.5843

* VASP energy: -801.6 eV/cell
* total magnetization: 0.00 μB/f.u.
* uncorrected formation energy: -3490 meV per atom
* SG: P2_1/c